(1)
La2CrCuRh | PBE-GGA | relaxed

Geometry as POSCAR:
```
La2CrCuRh
1.0
-0.530 -2.940 4.517
0.053 -3.822 -2.482
5.390 -0.236 0.479
Cu La Rh Cr
1 2 1 1
Cartesian
0.000 0.000 0.000
-0.265 -1.470 2.259
2.695 -0.118 0.240
2.456 -3.499 1.258
0.027 -1.911 -1.241
```

## Properties
Its formation energy is 0.450 eV per atom. The total magnetization is 0.8382 μB per atom. The calculation puts the calculated total energy at -0.211 hartree per atom.

(2)
SrLa2CrCu | PBE-GGA | relaxed

Geometry as POSCAR:
```
SrLa2CrCu
1.0
5.660 0.000 0.000
0.000 4.790 0.000
0.000 0.000 5.660
La Cu Cr Sr
2 1 1 1
Cartesian
2.830 0.000 0.000
0.000 0.000 2.830
0.000 0.000 0.000
0.000 2.395 0.000
2.830 2.395 2.830
```

## Properties
Its formation energy is 0.719 eV per atom. The total magnetization is 0.0024 μB per atom. The calculation puts the calculated total energy at -0.159 hartree per atom.

(3)
LiCr2Cu | PBE-GGA | relaxed

Geometry as POSCAR:
```
LiCr2Cu
1.0
9.259 -0.010 -0.006
8.926 2.458 -0.006
8.926 1.202 2.144
Cr Li Cu
2 1 1
Cartesian
27.010 3.636 2.124
13.658 1.838 1.074
20.334 2.737 1.599
6.778 0.912 0.533
```

## Properties
Its formation energy is 0.466 eV per atom. As for the relative energy among the computed polymorphs: 261 meV per atom. The total magnetization is 0.0401 μB per atom. The calculation puts the calculated total energy at -0.215 hartree per atom.

(4)
LiCr2Cu | PBE-GGA | relaxed

Geometry as POSCAR:
```
LiCr2Cu
1.0
2.369 0.010 0.000
-0.626 2.285 0.000
0.000 0.000 8.935
Cr Li Cu
2 1 1
Cartesian
0.000 0.000 4.375
0.000 0.000 0.092
0.871 1.147 6.701
0.871 1.147 2.234
```

## Properties
Its formation energy is 0.400 eV per atom. As for the relative energy among the computed polymorphs: 195 meV per atom. The total magnetization is 0.0000 μB per atom. The calculation puts the calculated total energy at -0.217 hartree per atom.

(5)
LiCr2Cu | PBE-GGA | relaxed

Geometry as POSCAR:
```
LiCr2Cu
1.0
3.017 0.000 0.000
0.000 3.017 0.000
0.000 0.000 5.642
Cu Cr Li
1 2 1
Cartesian
0.000 0.000 2.872
1.508 1.508 1.292
0.000 0.000 0.136
1.508 1.508 4.163
```

## Properties
Its formation energy is 0.278 eV per atom. As for the relative energy among the computed polymorphs: 73 meV per atom. The total magnetization is 0.0119 μB per atom. The calculation puts the calculated total energy at -0.222 hartree per atom.

(6)
LiCr2Cu | PBE-GGA | relaxed

Geometry as POSCAR:
```
LiCr2Cu
1.0
-1.380 1.732 -0.759
-3.113 -1.314 2.663
1.680 2.805 3.347
Cr Cu Li
2 1 1
Cartesian
0.830 1.386 1.654
0.010 0.016 0.019
-1.827 0.911 1.789
-0.987 2.313 3.463
```

## Properties
Its formation energy is 0.394 eV per atom. As for the relative energy among the computed polymorphs: 189 meV per atom. The total magnetization is 0.0000 μB per atom. The calculation puts the calculated total energy at -0.218 hartree per atom.

(7)
LiCrCu3 | PBE-GGA | relaxed

Geometry as POSCAR:
```
LiCrCu3
1.0
3.972 0.000 0.000
0.000 3.972 0.000
0.000 0.000 3.972
Li Cu Cr
1 3 1
Cartesian
0.000 0.000 0.000
1.986 0.000 0.000
0.000 1.986 0.000
0.000 0.000 1.986
1.986 1.986 1.986
```

## Properties
Its formation energy is 0.960 eV per atom. The total magnetization is 0.0011 μB per atom. The calculation puts the calculated total energy at -0.140 hartree per atom.

(8)
LiCr2Cu2 | PBE-GGA | relaxed

Geometry as POSCAR:
```
LiCr2Cu2
1.0
7.449 0.000 0.000
0.000 7.449 0.000
0.000 0.000 2.420
Cr Cu Li
4 4 2
Cartesian
4.479 6.694 1.210
0.755 4.479 1.210
2.970 0.755 1.210
6.694 2.970 1.210
2.306 6.031 0.000
5.142 1.418 0.000
1.418 2.306 0.000
6.031 5.142 0.000
3.724 3.724 0.000
0.000 0.000 0.000
```

## Properties
Its formation energy is 0.383 eV per atom. As for the relative energy among the computed polymorphs: 12 meV per atom. The total magnetization is 0.0000 μB per atom. The calculation puts the calculated total energy at -0.202 hartree per atom.

(9)
LiCr2Cu | PBE-GGA | relaxed

Geometry as POSCAR:
```
LiCr2Cu
1.0
-0.922 0.797 2.049
-1.988 -1.252 -0.407
3.372 -6.696 4.123
Cr Li Cu
2 1 1
Cartesian
0.039 -0.077 0.048
-0.589 -1.948 1.880
1.035 -5.172 3.865
1.663 -3.302 2.033
```

## Properties
Its formation energy is 0.299 eV per atom. As for the relative energy among the computed polymorphs: 94 meV per atom. The total magnetization is 0.0000 μB per atom. The calculation puts the calculated total energy at -0.221 hartree per atom.

(10)
LiCr2Cu | PBE-GGA | relaxed

Geometry as POSCAR:
```
LiCr2Cu
1.0
4.294 -0.003 -0.005
3.657 2.251 -0.005
0.129 0.037 4.920
Cu Cr Li
1 2 1
Cartesian
4.060 1.148 2.532
1.921 0.543 1.133
0.034 0.010 0.077
6.107 1.726 3.622
```

## Properties
Its formation energy is 0.383 eV per atom. As for the relative energy among the computed polymorphs: 178 meV per atom. The total magnetization is 0.0052 μB per atom. The calculation puts the calculated total energy at -0.218 hartree per atom.

(11)
LiCr2Cu | PBE-GGA | relaxed

Geometry as POSCAR:
```
LiCr2Cu
1.0
4.962 -0.001 -0.003
2.732 4.142 0.003
-3.550 -2.623 2.267
Cu Li Cr
1 1 2
Cartesian
2.630 -0.276 1.132
1.515 1.795 1.135
7.670 4.128 0.000
3.871 2.084 0.000
```

## Properties
Its formation energy is 0.359 eV per atom. As for the relative energy among the computed polymorphs: 154 meV per atom. The total magnetization is 0.0000 μB per atom. The calculation puts the calculated total energy at -0.219 hartree per atom.

(12)
LiCr2Cu | PBE-GGA | relaxed

Geometry as POSCAR:
```
LiCr2Cu
1.0
-1.586 3.070 -2.782
-4.236 -1.220 -0.502
2.199 0.659 3.796
Cu Cr Li
1 2 1
Cartesian
-2.911 0.925 -1.642
-2.474 0.182 0.826
0.000 0.000 0.000
-1.149 2.327 -0.314
```

## Properties
Its formation energy is 0.342 eV per atom. As for the relative energy among the computed polymorphs: 138 meV per atom. The total magnetization is 0.0080 μB per atom. The calculation puts the calculated total energy at -0.219 hartree per atom.

(13)
LiCr3Cu | PBE-GGA | relaxed

Geometry as POSCAR:
```
LiCr3Cu
1.0
-4.082 2.388 -0.436
-1.023 -2.465 -3.928
-2.202 -3.282 2.633
Cr Li Cu
3 1 1
Cartesian
-0.511 -1.233 -1.964
-1.101 -1.641 1.317
-2.041 1.194 -0.218
-3.653 -1.680 -0.866
0.000 0.000 0.000
```

## Properties
Its formation energy is 1.230 eV per atom. As for the relative energy among the computed polymorphs: 0 meV per atom. The total magnetization is 2.6634 μB per atom. The calculation puts the calculated total energy at -0.211 hartree per atom.

(14)
LiCr2Cu | PBE-GGA | relaxed

Geometry as POSCAR:
```
LiCr2Cu
1.0
2.323 0.000 0.000
0.000 3.913 0.000
0.000 0.000 5.283
Cr Cu Li
2 1 1
Cartesian
0.000 0.000 0.096
1.161 1.957 1.244
0.000 0.000 2.701
1.161 1.957 3.883
```

## Properties
Its formation energy is 0.373 eV per atom. As for the relative energy among the computed polymorphs: 168 meV per atom. The total magnetization is 0.0001 μB per atom. The calculation puts the calculated total energy at -0.218 hartree per atom.

(15)
LiCr2Cu | PBE-GGA | relaxed

Geometry as POSCAR:
```
LiCr2Cu
1.0
-0.742 1.823 -1.299
-2.235 -0.684 0.317
-0.488 4.924 7.188
Li Cr Cu
1 2 1
Cartesian
-1.855 4.262 4.900
-0.006 0.062 0.090
-0.238 2.400 3.504
-1.611 1.801 1.306
```

## Properties
Its formation energy is 0.428 eV per atom. As for the relative energy among the computed polymorphs: 223 meV per atom. The total magnetization is 0.0000 μB per atom. The calculation puts the calculated total energy at -0.216 hartree per atom.

(16)
LiCr2Cu | PBE-GGA | relaxed

Geometry as POSCAR:
```
LiCr2Cu
1.0
4.979 0.012 -0.028
-2.775 4.134 -0.028
0.285 0.537 2.272
Li Cu Cr
1 1 2
Cartesian
-1.245 2.336 1.122
2.632 0.275 1.122
1.102 2.073 -0.028
0.000 0.000 0.000
```

## Properties
Its formation energy is 0.364 eV per atom. As for the relative energy among the computed polymorphs: 159 meV per atom. The total magnetization is 0.0000 μB per atom. The calculation puts the calculated total energy at -0.219 hartree per atom.

(17)
LiCrCu3 | PBE-GGA | relaxed

Geometry as POSCAR:
```
LiCrCu3
1.0
4.640 0.000 0.000
0.000 4.640 0.000
0.000 0.000 4.640
Cu Li Cr
3 1 1
Cartesian
2.320 0.000 0.000
0.000 0.000 2.320
0.000 2.320 0.000
2.320 2.320 2.320
0.000 0.000 0.000
```

## Properties
Its formation energy is 0.958 eV per atom. The total magnetization is 0.8353 μB per atom. The calculation puts the calculated total energy at -0.140 hartree per atom.

(18)
LiCr2Cu | PBE-GGA | relaxed

Geometry as POSCAR:
```
LiCr2Cu
1.0
-2.853 -1.498 0.014
0.913 -1.768 -3.119
1.671 -3.160 2.281
Cr Cu Li
2 1 1
Cartesian
-0.970 -1.633 -1.552
0.000 0.000 0.000
-0.591 -2.329 1.148
1.292 -2.464 -0.419
```

## Properties
Its formation energy is 0.285 eV per atom. As for the relative energy among the computed polymorphs: 81 meV per atom. The total magnetization is 0.0053 μB per atom. The calculation puts the calculated total energy at -0.222 hartree per atom.

(19)
LiCr2Cu | PBE-GGA | relaxed

Geometry as POSCAR:
```
LiCr2Cu
1.0
2.447 -0.002 0.000
-0.793 2.315 0.000
0.000 0.000 8.602
Cu Cr Li
1 2 1
Cartesian
0.000 0.000 4.244
0.000 0.000 0.139
0.827 1.156 2.115
0.827 1.156 6.405
```

## Properties
Its formation energy is 0.205 eV per atom. As for the relative energy among the computed polymorphs: 0 meV per atom. The total magnetization is 0.0000 μB per atom. The calculation puts the calculated total energy at -0.225 hartree per atom.

(20)
LiCr2Cu | PBE-GGA | relaxed

Geometry as POSCAR:
```
LiCr2Cu
1.0
-2.342 -0.601 3.597
-3.397 -2.692 -0.050
0.199 -3.781 2.110
Cr Cu Li
2 1 1
Cartesian
-1.385 -1.768 1.414
-4.155 -5.305 4.242
-2.770 -3.537 2.828
0.000 0.000 0.000
```

## Properties
Its formation energy is 0.614 eV per atom. As for the relative energy among the computed polymorphs: 409 meV per atom. The total magnetization is 1.9835 μB per atom. The calculation puts the calculated total energy at -0.209 hartree per atom.